No. 1
# Ni2SbTeRu

A geometry-optimized Ni2SbTeRu structure (PBE, Alexandria).

For the raw total energy, the calculation gives -4.24 eV per atom. As for the size of the total moment: 3.07 μB per cell. Its crystal system is tetragonal. The calculated density comes out at 6.3 g cm⁻³. For the energy relative to the elements, uncorrected, the calculation gives 1377 meV per atom. The volume is 123 Å³/cell.

The space group is P4/mmm (No. 123) and the conventional cell measures 4.568, 4.568 and 5.899 Å, with angles of 90.00, 90.00 and 90.00 degrees. Symmetry generates all atoms from Ni at (0.000, 0.500, 0.000), Sb at (0.000, 0.000, 0.000), Te at (0.000, 0.000, 0.500) and Ru at (0.500, 0.500, 0.500).


No. 2
# NiSbTe2Ru

A geometry-optimized NiSbTe2Ru structure (PBE, Alexandria).

For the raw total energy, the calculation gives -4.25 eV per atom. As for the size of the total moment: 0.11 μB per cell. Its crystal system is tetragonal. The calculated density comes out at 7.6 g cm⁻³. For the energy relative to the elements, uncorrected, the calculation gives 847 meV per atom. The volume is 118 Å³/cell. The relative energy among the computed polymorphs is 0.000 eV per atom.

The space group is P4/mmm (No. 123) and the conventional cell measures 4.978, 4.978 and 4.751 Å, with angles of 90.00, 90.00 and 90.00 degrees. Symmetry generates all atoms from Ni at (0.000, 0.000, 0.000), Sb at (0.000, 0.000, 0.500), Te at (0.000, 0.500, 0.000) and Ru at (0.500, 0.500, 0.500).


No. 3
# NiSb2TeRu

A geometry-optimized NiSb2TeRu structure (PBE, Alexandria).

For the raw total energy, the calculation gives -4.46 eV per atom. As for the size of the total moment: 0.68 μB per cell. Its crystal system is tetragonal. The calculated density comes out at 6.5 g cm⁻³. For the energy relative to the elements, uncorrected, the calculation gives 834 meV per atom. The volume is 135 Å³/cell. The relative energy among the computed polymorphs is 0.018 eV per atom.

The space group is P4/mmm (No. 123) and the conventional cell measures 4.984, 4.984 and 5.423 Å, with angles of 90.00, 90.00 and 90.00 degrees. Symmetry generates all atoms from Ni at (0.000, 0.000, 0.000), Sb at (0.000, 0.500, 0.500), Te at (0.500, 0.500, 0.000) and Ru at (0.500, 0.500, 0.500).


No. 4
# NiSb2TeRu

A geometry-optimized NiSb2TeRu structure (PBE, Alexandria).

For the raw total energy, the calculation gives -4.47 eV per atom. As for the size of the total moment: 0.51 μB per cell. Its crystal system is tetragonal. The calculated density comes out at 7.6 g cm⁻³. For the energy relative to the elements, uncorrected, the calculation gives 815 meV per atom. The volume is 116 Å³/cell. The relative energy among the computed polymorphs is 0.000 eV per atom.

The space group is P4/mmm (No. 123) and the conventional cell measures 4.812, 4.812 and 5.021 Å, with angles of 90.00, 90.00 and 90.00 degrees. Symmetry generates all atoms from Ni at (0.000, 0.000, 0.000), Sb at (0.000, 0.500, 0.000), Te at (0.000, 0.000, 0.500) and Ru at (0.500, 0.500, 0.500).